# 1
Here is an optimized crystal structure of MnAlZnS4 from the Alexandria database. Energies are from GGA-PBE.

E_tot   -145.2 eV per cell
Density of states at the Fermi level   1.79 states/eV/f.u.
Theoretical density   3557 kg/m3
Total magnetic moment   15.65 Bohr magnetons per cell
Formation energy from raw total energies   -0.802 eV/atom

Cell: 7.1605 7.1939 9.9895 Å, 90.00 90.00 90.00°
Space group Imma (No. 74)
Inequivalent atoms, fractional coordinates:
Mn: 0.2500 0.2500 0.2500 (multiplicity 4)
Al: 0.0000 0.0000 0.0000 (multiplicity 4)
Zn: 0.0000 0.2500 0.6265 (multiplicity 4)
S: 0.0000 0.0179 0.2405 (multiplicity 8)
S: 0.2291 0.2500 0.0085 (multiplicity 8)

---

# 2
Here is an optimized crystal structure of ScOs2Br from the Alexandria database. Energies are from GGA-PBE.

E_tot   -28.3 eV per cell
Density of states at the Fermi level   4.03 states/eV/f.u.
Distance to the lowest polymorph of the same formula   573 meV/atom
Theoretical density   11438 kg/m3
Total magnetic moment   0.00 Bohr magnetons per cell
Formation energy from raw total energies   0.533 eV/atom

Cell: 3.6303 3.6303 5.5664 Å, 90.00 90.00 90.00°
Space group P4/mmm (No. 123)
Inequivalent atoms, fractional coordinates:
Sc: 0.0000 0.0000 0.0000 (multiplicity 1)
Os: 0.0000 0.5000 0.5000 (multiplicity 2)
Br: 0.5000 0.5000 0.0000 (multiplicity 1)